Material: KNpTl2F6
Method: DFT, PBE-GGA
State: optimized geometry Values from VASP.

Structure (Quantum ESPRESSO input):
```
&SYSTEM
  ibrav = 0, nat = 10, ntyp = 4
/
ATOMIC_SPECIES
K 39.10 K.upf
Np 237.00 Np.upf
Tl 204.38 Tl.upf
F 19.00 F.upf
ATOMIC_POSITIONS crystal
K 0.0000 0.0000 0.0000
Np 0.5000 0.5000 0.5000
Tl 0.2503 0.2503 0.7287
Tl 0.7497 0.7497 0.2713
F 0.1937 0.6677 0.6526
F 0.2745 0.2745 0.1628
F 0.3323 0.8063 0.3474
F 0.6677 0.1937 0.6526
F 0.7255 0.7255 0.8372
F 0.8063 0.3323 0.3474
CELL_PARAMETERS angstrom
5.7652 -3.3572 0.0000
5.7652 3.3572 0.0000
-3.9764 0.0000 5.5776
```

Material: La3Tb4Er5
Method: DFT, PBE-GGA
State: optimized geometry Values from VASP.

Structure (Quantum ESPRESSO input):
```
&SYSTEM
  ibrav = 0, nat = 12, ntyp = 3
/
ATOMIC_SPECIES
La 138.91 La.upf
Tb 158.93 Tb.upf
Er 167.26 Er.upf
ATOMIC_POSITIONS crystal
La 0.0000 0.0000 0.0000
La 0.2915 0.2915 0.7691
La 0.7085 0.7085 0.2309
Tb 0.2946 0.2946 0.1251
Tb 0.4181 0.4181 0.5586
Tb 0.5819 0.5819 0.4414
Tb 0.7054 0.7054 0.8749
Er 0.0722 0.0722 0.6951
Er 0.1717 0.1717 0.3897
Er 0.5000 0.5000 0.0000
Er 0.8283 0.8283 0.6103
Er 0.9278 0.9278 0.3049
CELL_PARAMETERS angstrom
8.0122 -2.9839 0.0000
8.0122 2.9839 0.0000
-4.1555 0.0000 8.3694
```

Material: Mg5AlCd2
Method: DFT, PBE-GGA
State: optimized geometry Values from VASP.

Structure (Quantum ESPRESSO input):
```
&SYSTEM
  ibrav = 0, nat = 16, ntyp = 3
/
ATOMIC_SPECIES
Mg 24.30 Mg.upf
Al 26.98 Al.upf
Cd 112.41 Cd.upf
ATOMIC_POSITIONS crystal
Mg 0.0000 0.0000 0.1643
Mg 0.0000 0.0000 0.3357
Mg 0.0000 0.0000 0.6643
Mg 0.0000 0.0000 0.8357
Mg 0.3333 0.6667 0.0483
Mg 0.3333 0.6667 0.2500
Mg 0.3333 0.6667 0.4517
Mg 0.6667 0.3333 0.5483
Mg 0.6667 0.3333 0.7500
Mg 0.6667 0.3333 0.9517
Al 0.3333 0.6667 0.7500
Al 0.6667 0.3333 0.2500
Cd 0.3333 0.6667 0.6041
Cd 0.3333 0.6667 0.8959
Cd 0.6667 0.3333 0.1041
Cd 0.6667 0.3333 0.3959
CELL_PARAMETERS angstrom
4.7451 0.0000 0.0000
-2.3726 4.1094 0.0000
0.0000 0.0000 19.2006
```

Material: Sm2Al2Au3
Method: DFT, PBE-GGA
State: optimized geometry Values from VASP.

Structure (Quantum ESPRESSO input):
```
&SYSTEM
  ibrav = 0, nat = 14, ntyp = 3
/
ATOMIC_SPECIES
Sm 150.36 Sm.upf
Al 26.98 Al.upf
Au 196.97 Au.upf
ATOMIC_POSITIONS crystal
Sm 0.0593 0.9407 0.7500
Sm 0.1509 0.8491 0.2500
Sm 0.8491 0.1509 0.7500
Sm 0.9407 0.0593 0.2500
Al 0.3051 0.6949 0.0567
Al 0.3051 0.6949 0.4433
Al 0.6949 0.3051 0.5567
Al 0.6949 0.3051 0.9433
Au 0.2259 0.7741 0.7500
Au 0.4334 0.5666 0.5509
Au 0.4334 0.5666 0.9491
Au 0.5666 0.4334 0.0509
Au 0.5666 0.4334 0.4491
Au 0.7741 0.2259 0.2500
CELL_PARAMETERS angstrom
2.1258 -9.8407 0.0000
2.1258 9.8407 0.0000
0.0000 0.0000 7.2978
```

Material: CdSnHg2H
Method: DFT, PBE-GGA
State: optimized geometry Values from VASP.

Structure (Quantum ESPRESSO input):
```
&SYSTEM
  ibrav = 0, nat = 5, ntyp = 4
/
ATOMIC_SPECIES
Cd 112.41 Cd.upf
Sn 118.71 Sn.upf
Hg 200.59 Hg.upf
H 1.01 H.upf
ATOMIC_POSITIONS crystal
Cd 0.0000 0.0000 0.0000
Sn 0.5000 0.5000 0.5000
Hg 0.0000 0.5000 0.5000
Hg 0.5000 0.0000 0.5000
H 0.5000 0.5000 0.0000
CELL_PARAMETERS angstrom
5.7433 0.0000 0.0000
0.0000 5.7433 0.0000
0.0000 0.0000 3.8304
```

Material: TlCuCl3
Method: DFT, PBE-GGA
State: optimized geometry Values from VASP.

Structure (Quantum ESPRESSO input):
```
&SYSTEM
  ibrav = 0, nat = 5, ntyp = 3
/
ATOMIC_SPECIES
Tl 204.38 Tl.upf
Cu 63.55 Cu.upf
Cl 35.45 Cl.upf
ATOMIC_POSITIONS crystal
Tl 0.0000 0.0000 0.0000
Cu 0.5000 0.4055 0.4055
Cl 0.0000 0.5119 0.5119
Cl 0.5000 0.0492 0.5907
Cl 0.5000 0.5907 0.0492
CELL_PARAMETERS angstrom
4.2396 0.0000 0.0000
0.0000 3.8652 4.3547
0.0000 -3.8652 4.3547
```

| no. | DFT total energy (eV per atom) |
| --- | --- |
| 1 | -5.6481 |
| 2 | -4.4306 |
| 3 | -1.6585 |
| 4 | -4.5576 |
| 5 | -1.5863 |
| 6 | -3.0704 |